VASP calculation (GGA+U) on crystalline Ba2FeTeO at its relaxed geometry.

As for the crystal system: tetragonal. As for the total energy: -4.353 eV per atom.

It has space group P4/mmm (No. 123), with a = 6.1047 Å, b = 6.1047 Å, c = 3.8770 Å, α = 90.00°, β = 90.00° and γ = 90.00°. Symmetry generates all atoms from Ba at (0.0000, 0.5000, 0.0000), Fe at (0.0000, 0.0000, 0.0000), Te at (0.5000, 0.5000, 0.5000) and O at (0.0000, 0.0000, 0.5000).